Here is an optimized crystal structure of Li3Mg2Ga4 from the Alexandria database. Energies are from PBE.

a = 4.1377 Å, b = 5.0468 Å, c = 8.5783 Å
α = 94.60°, β = 103.90°, γ = 114.09°
Closest atoms and distances in Å follow each position.
Positions (direct):
Li 0.0000 0.0000 0.0000  4 Mg 2.90, 8 Ga 2.91-3.02
Li 0.1008 0.7605 0.4426  3 Li 2.76-3.04, 6 Ga 2.76-2.91, 3 Mg 2.90-3.00
Li 0.8992 0.2395 0.5574  3 Li 2.76-3.04, 6 Ga 2.76-2.91, 3 Mg 2.90-3.00
Mg 0.4583 0.1340 0.7826  7 Ga 2.85-2.97, 5 Li 2.90-3.00
Mg 0.5417 0.8660 0.2174  7 Ga 2.85-2.97, 5 Li 2.90-3.00
Ga 0.2226 0.5704 0.8730  4 Li 2.76-3.02, 4 Mg 2.85-2.92, 2 Ga 2.85
Ga 0.3288 0.3174 0.3425  6 Li 2.80-2.93, 3 Ga 2.82-2.85, 3 Mg 2.92-2.97
Ga 0.6712 0.6826 0.6575  6 Li 2.80-2.93, 3 Ga 2.82-2.85, 3 Mg 2.92-2.97
Ga 0.7774 0.4296 0.1270  4 Li 2.76-3.02, 4 Mg 2.85-2.92, 2 Ga 2.85

Calculated values
Energy of formation in eV/f.u.: -2.02
Size of the total moment in μB/atom: 0.00
Calculated volume in Å³/cell: 155.5
Crystal system: triclinic
N(E_F) in states/eV per cell: 3.0
Distance to the lowest polymorph of the same formula in eV/atom: 0.0000

Here is an optimized crystal structure of AcEuF from the Alexandria database. Energies are from PBE.

a = 4.0465 Å, b = 4.0465 Å, c = 7.4729 Å
α = 90.00°, β = 90.00°, γ = 120.00°
Closest atoms and distances in Å follow each position.
Positions (direct):
Ac 0.0000 0.0000 0.0000  6 Ac 4.05, 3 F 4.25, 6 Eu 4.30-4.51
Eu 0.6667 0.3333 0.4830  3 F 2.36
F 0.3333 0.6667 0.5257  3 Eu 2.36

Calculated values
E_form (uncorrected) in eV/atom: -1.5988
Size of the total moment in μB/atom: 2.37
Calculated volume in Å³/cell: 106.0
Crystal system: trigonal
N(E_F) in states/eV per cell: 2.4

Here is an optimized crystal structure of AcAgAs3 from the Alexandria database. Energies are from PBE.

a = 5.0596 Å, b = 5.0596 Å, c = 5.0596 Å
α = 90.00°, β = 90.00°, γ = 90.00°
Closest atoms and distances in Å follow each position.
Positions (direct):
Ac 0.0000 0.0000 0.0000  12 As 3.58
Ag 0.5000 0.5000 0.5000  6 As 2.53
As 0.0000 0.5000 0.5000  2 Ag 2.53
As 0.5000 0.0000 0.5000  2 Ag 2.53
As 0.5000 0.5000 0.0000  2 Ag 2.53

Calculated values
Energy of formation in eV/f.u.: -0.69
Size of the total moment in μB/atom: 0.00
Calculated volume in Å³/cell: 129.5
Crystal system: cubic
N(E_F) in states/eV per cell: 3.2

Here is an optimized crystal structure of ThSc2Re from the Alexandria database. Energies are from PBE.

a = 3.3005 Å, b = 3.3005 Å, c = 8.4942 Å
α = 90.00°, β = 90.00°, γ = 90.00°
Closest atoms and distances in Å follow each position.
Positions (direct):
Th 0.0000 0.0000 0.0000  4 Th 3.30, 8 Sc 3.57
Sc 0.5000 0.5000 0.3174  4 Re 2.80, 1 Sc 3.10
Sc 0.5000 0.5000 0.6826  4 Re 2.80, 1 Sc 3.10
Re 0.0000 0.0000 0.5000  8 Sc 2.80

Calculated values
Energy of formation in eV/f.u.: 0.14
Size of the total moment in μB/atom: 0.00
Calculated volume in Å³/cell: 92.5
Crystal system: tetragonal
N(E_F) in states/eV per cell: 6.4
Distance to the lowest polymorph of the same formula in eV/atom: 0.1149

Here is an optimized crystal structure of Nd3Sm2Zn2 from the Alexandria database. Energies are from PBE.

a = 15.5477 Å, b = 15.5477 Å, c = 3.6381 Å
α = 90.00°, β = 90.00°, γ = 166.35°
Closest atoms and distances in Å follow each position.
Positions (direct):
Nd 0.0000 0.0000 0.0000  12 Nd 3.64-3.71
Nd 0.4141 0.5859 0.5000  4 Zn 3.17
Nd 0.5859 0.4141 0.5000  4 Zn 3.17
Sm 0.2990 0.7010 0.5000  4 Zn 3.12
Sm 0.7010 0.2990 0.5000  4 Zn 3.12
Zn 0.1451 0.8549 0.0000  4 Sm 3.12, 4 Nd 3.17
Zn 0.8549 0.1451 0.0000  4 Sm 3.12, 4 Nd 3.17

Calculated values
Energy of formation in eV/f.u.: -0.79
Size of the total moment in μB/atom: 0.11
Calculated volume in Å³/cell: 207.6
Crystal system: orthorhombic
N(E_F) in states/eV per cell: 7.6
Distance to the lowest polymorph of the same formula in eV/atom: 0.0105

Here is an optimized crystal structure of CsScSe2 from the Alexandria database. Energies are from PBE.

a = 4.4545 Å, b = 4.4545 Å, c = 8.5824 Å
α = 90.00°, β = 90.00°, γ = 120.00°
Closest atoms and distances in Å follow each position.
Positions (direct):
Cs 0.0000 0.0000 0.0000  3 Se 3.41
Sc 0.3333 0.6667 0.4625  1 Se 2.37
Se 0.3333 0.6667 0.7386  1 Sc 2.37
Se 0.6667 0.3333 0.3476  3 Sc 2.75

Calculated values
E_form (uncorrected) in eV/atom: -1.2992
Size of the total moment in μB/atom: 0.00
Calculated volume in Å³/cell: 147.5
Crystal system: trigonal
N(E_F) in states/eV per cell: 0.0

Here is an optimized crystal structure of La2Nd3Tm5 from the Alexandria database. Energies are from PBE.

a = 9.7593 Å, b = 9.7593 Å, c = 9.3230 Å
α = 108.02°, β = 108.02°, γ = 114.11°
Closest atoms and distances in Å follow each position.
Positions (direct):
La 0.0230 0.2677 0.0468  2 Nd 3.12-3.32, 3 Tm 3.33-3.48
La 0.2677 0.0230 0.5468  2 Nd 3.12-3.32, 3 Tm 3.33-3.48
La 0.7323 0.9770 0.4532  2 Nd 3.12-3.32, 3 Tm 3.33-3.48
La 0.9770 0.7323 0.9532  2 Nd 3.12-3.32, 3 Tm 3.33-3.48
Nd 0.2255 0.4707 0.4533  1 La 3.12, 6 Tm 3.34-3.48
Nd 0.2699 0.7301 0.2500  4 La 3.32-3.57, 3 Tm 3.33-3.71, 2 Nd 3.57
Nd 0.4707 0.2255 0.9533  1 La 3.12, 6 Tm 3.34-3.48
Nd 0.5293 0.7745 0.0467  1 La 3.12, 6 Tm 3.34-3.48
Nd 0.7301 0.2699 0.7500  4 La 3.32-3.57, 3 Tm 3.33-3.71, 2 Nd 3.57
Nd 0.7745 0.5293 0.5467  1 La 3.12, 6 Tm 3.34-3.48
Tm 0.0260 0.9740 0.7500  3 Tm 3.32-3.55, 4 La 3.33-3.43, 2 Nd 3.43
Tm 0.1436 0.3730 0.7582  3 Nd 3.45-3.71, 3 Tm 3.49-3.66, 2 La 3.52-3.55
Tm 0.2286 0.7714 0.7500  3 Tm 3.32-3.66, 4 Nd 3.34-3.51, 2 La 3.51
Tm 0.3730 0.1436 0.2582  3 Nd 3.45-3.71, 3 Tm 3.49-3.66, 2 La 3.52-3.55
Tm 0.4730 0.5270 0.2500  5 Nd 3.33-3.48, 2 La 3.48, 2 Tm 3.49
Tm 0.5270 0.4730 0.7500  5 Nd 3.33-3.48, 2 La 3.48, 2 Tm 3.49
Tm 0.6270 0.8564 0.7418  3 Nd 3.45-3.71, 3 Tm 3.49-3.66, 2 La 3.52-3.55
Tm 0.7714 0.2286 0.2500  3 Tm 3.32-3.66, 4 Nd 3.34-3.51, 2 La 3.51
Tm 0.8564 0.6270 0.2418  3 Nd 3.45-3.71, 3 Tm 3.49-3.66, 2 La 3.52-3.55
Tm 0.9740 0.0260 0.2500  3 Tm 3.32-3.55, 4 La 3.33-3.43, 2 Nd 3.43

Calculated values
Energy of formation in eV/f.u.: 1.76
Size of the total moment in μB/atom: 0.00
Calculated volume in Å³/cell: 666.6
Crystal system: monoclinic
N(E_F) in states/eV per cell: 28.6

Here is an optimized crystal structure of MnAgAu from the Alexandria database. Energies are from PBE.

a = 13.9262 Å, b = 13.9262 Å, c = 13.9262 Å
α = 11.97°, β = 11.97°, γ = 11.97°
Closest atoms and distances in Å follow each position.
Positions (direct):
Mn 0.0000 0.0000 0.0000  9 Mn 2.67-2.90, 3 Au 2.78
Mn 0.3834 0.3834 0.3834  9 Mn 2.67-2.90, 3 Au 2.79
Ag 0.2209 0.2209 0.2209  9 Ag 2.90-2.93, 3 Au 2.97
Ag 0.8298 0.8298 0.8298  9 Ag 2.90-2.93, 3 Au 2.97
Au 0.1039 0.1039 0.1039  3 Mn 2.79, 6 Au 2.90, 3 Ag 2.97
Au 0.6133 0.6133 0.6133  3 Mn 2.78, 6 Au 2.90, 3 Ag 2.97

Calculated values
Energy of formation in eV/f.u.: 0.40
Size of the total moment in μB/atom: 1.20
Calculated volume in Å³/cell: 101.0
Crystal system: trigonal
N(E_F) in states/eV per cell: 2.1
Distance to the lowest polymorph of the same formula in eV/atom: 0.1150

Here is an optimized crystal structure of Ac4PrCd from the Alexandria database. Energies are from PBE.

a = 5.7630 Å, b = 5.7630 Å, c = 8.1208 Å
α = 90.00°, β = 90.00°, γ = 90.00°
Closest atoms and distances in Å follow each position.
Positions (direct):
Ac 0.0000 0.5000 0.2418  2 Cd 3.49, 2 Pr 3.56
Ac 0.0000 0.5000 0.7582  2 Cd 3.49, 2 Pr 3.56
Ac 0.5000 0.0000 0.2418  2 Cd 3.49, 2 Pr 3.56
Ac 0.5000 0.0000 0.7582  2 Cd 3.49, 2 Pr 3.56
Pr 0.0000 0.0000 0.5000  8 Ac 3.56
Cd 0.5000 0.5000 0.0000  8 Ac 3.49

Calculated values
Energy of formation in eV/f.u.: 1.70
Size of the total moment in μB/atom: 0.00
Calculated volume in Å³/cell: 269.7
Crystal system: tetragonal
N(E_F) in states/eV per cell: 9.7
Distance to the lowest polymorph of the same formula in eV/atom: 0.3710

Here is an optimized crystal structure of Tl2AsO5 from the Alexandria database. Energies are from PBE.

a = 8.2906 Å, b = 8.2906 Å, c = 11.2961 Å
α = 118.10°, β = 118.10°, γ = 51.80°
Closest atoms and distances in Å follow each position.
Positions (direct):
Tl 0.0355 0.2459 0.8401  6 O 2.28-2.44
Tl 0.1926 0.7274 0.5166  5 O 2.27-2.46
Tl 0.2459 0.0355 0.3401  6 O 2.28-2.44
Tl 0.2726 0.8074 0.9834  5 O 2.27-2.46
Tl 0.7274 0.1926 0.0166  5 O 2.27-2.46
Tl 0.7541 0.9645 0.6599  6 O 2.28-2.44
Tl 0.8074 0.2726 0.4834  5 O 2.27-2.46
Tl 0.9645 0.7541 0.1599  6 O 2.28-2.44
As 0.2327 0.4104 0.6910  4 O 1.74
As 0.4104 0.2327 0.1910  4 O 1.74
As 0.5896 0.7673 0.8090  4 O 1.74
As 0.7673 0.5896 0.3090  4 O 1.74
O 0.0557 0.3646 0.6925  1 As 1.74
O 0.0672 0.9138 0.1142  4 Tl 2.27-2.43
O 0.0862 0.9328 0.3858  4 Tl 2.27-2.43
O 0.0893 0.6380 0.6347  1 As 1.74
O 0.2021 0.3868 0.0760  1 As 1.74
O 0.3620 0.9107 0.8653  1 As 1.74
O 0.3646 0.0557 0.1925  1 As 1.74
O 0.3868 0.2021 0.5760  1 As 1.74
O 0.3962 0.4487 0.8563  1 As 1.74
O 0.4487 0.3962 0.3563  1 As 1.74
O 0.5513 0.6038 0.6437  1 As 1.74
O 0.6038 0.5513 0.1437  1 As 1.74
O 0.6132 0.7979 0.4240  1 As 1.74
O 0.6354 0.9443 0.8075  1 As 1.74
O 0.6380 0.0893 0.1347  1 As 1.74
O 0.7979 0.6132 0.9240  1 As 1.74
O 0.9107 0.3620 0.3653  1 As 1.74
O 0.9138 0.0672 0.6142  4 Tl 2.27-2.43
O 0.9328 0.0862 0.8858  4 Tl 2.27-2.43
O 0.9443 0.6354 0.3075  1 As 1.74

Calculated values
E_form (uncorrected) in eV/atom: -0.9139
Size of the total moment in μB/atom: 0.00
Calculated volume in Å³/cell: 519.8
Crystal system: monoclinic
N(E_F) in states/eV per cell: 5.0
Distance to the lowest polymorph of the same formula in eV/atom: 0.0000

Here is an optimized crystal structure of SrInFe4 from the Alexandria database. Energies are from PBE.

a = 5.1941 Å, b = 5.1941 Å, c = 5.1941 Å
α = 60.00°, β = 60.00°, γ = 60.00°
Closest atoms and distances in Å follow each position.
Positions (direct):
Sr 0.0000 0.0000 0.0000  12 Fe 3.05, 4 In 3.18
In 0.2500 0.2500 0.2500  12 Fe 3.04, 4 Sr 3.18
Fe 0.1280 0.6240 0.6240  6 Fe 2.58-2.62
Fe 0.6240 0.1280 0.6240  6 Fe 2.58-2.62
Fe 0.6240 0.6240 0.1280  6 Fe 2.58-2.62
Fe 0.6240 0.6240 0.6240  6 Fe 2.58-2.62

Calculated values
Energy of formation in eV/f.u.: 1.76
Size of the total moment in μB/atom: 1.53
Calculated volume in Å³/cell: 99.1
Crystal system: cubic
N(E_F) in states/eV per cell: 5.6

Question: Which of these has the highest calculated volume?
Answer: La2Nd3Tm5